Density functional theory data (GGA-PBE) for a geometry-optimized RbAgWSe3 structure.

Cell and atoms, written as extended XYZ:
```
12
Lattice="1.9784 -7.7146 0.0000 1.9784 7.7146 0.0000 0.0000 0.0000 10.2018" Properties=species:S:1:pos:R:3 pbc="T T T"
Rb 1.9784 3.9424 7.6514
Rb 1.9784 -3.9424 2.5505
Ag 1.9784 0.7101 2.5505
Ag 1.9784 -0.7101 7.6514
W 0.0000 0.0000 0.0000
W 0.0000 0.0000 5.1009
Se 1.9784 6.6970 2.5505
Se 1.9784 1.7493 0.2358
Se 1.9784 1.7493 4.8651
Se 1.9784 -1.7493 5.3367
Se 1.9784 -1.7493 9.9660
Se 1.9784 -6.6970 7.6514
```

Values from the calculation:
**Total magnetic moment**: 4.00 μB/cell
**Crystal system**: orthorhombic
**E**: -28.85 eV/f.u.
**Calculated volume**: 311.4 Å³/cell